PrGdHg2: optimized geometry, PBE.

relative energy among the computed polymorphs: 1 meV/atom
formation energy: -0.490 eV per atom
total DFT energy (no corrections): -21.42 eV per formula unit
magnetization: 1.9660 μB per atom

Cell: 3.7929 3.7929 7.6682 Å, 90.00 90.00 90.00°
Closest atoms and distances in Å follow each position.
Atoms (fractional coordinates):
Hg (0.0000, 0.0000, 0.7638)  4 Gd 3.24, 4 Pr 3.36, 1 Hg 3.62
Hg (0.0000, 0.0000, 0.2362)  4 Gd 3.24, 4 Pr 3.36, 1 Hg 3.62
Pr (0.5000, 0.5000, 0.5000)  8 Hg 3.36
Gd (0.5000, 0.5000, 0.0000)  8 Hg 3.24